(1)
Here is a relaxed CuNiSe3 crystal from Alexandria via LeMat-Bulk. Energies are from PBE-GGA.

The distance to the lowest polymorph of the same formula comes out at 0.994 eV/atom. As for the density of states at the Fermi level: 1.54 states/eV per atom. The calculation puts the energy at -16.213 eV/cell. Its formation energy without anion corrections is 0.824 eV/atom. The spin magnetization is 1.72 μB per formula unit.

The structure belongs to space group Pm-3m (No. 221); the cell edges are 4.7523, 4.7523 and 4.7523 Å and the angles 90.00°, 90.00° and 90.00°. Symmetry generates all atoms from Cu at (0.0000, 0.0000, 0.0000), Ni at (0.5000, 0.5000, 0.5000) and Se at (0.0000, 0.0000, 0.5000).

(2)
Here is a relaxed Cu2NiSe crystal from Alexandria via LeMat-Bulk. Energies are from PBE-GGA.

As for the density of states at the Fermi level: 1.05 states/eV per atom. The calculation puts the energy at -16.416 eV/cell. Its formation energy without anion corrections is 0.261 eV/atom. The spin magnetization is 0.00 μB per formula unit.

The structure belongs to space group P4/mmm (No. 123); the cell edges are 2.7166, 2.7166 and 7.6527 Å and the angles 90.00°, 90.00° and 90.00°. Symmetry generates all atoms from Cu at (0.0000, 0.0000, 0.2090), Ni at (0.5000, 0.5000, 0.0000) and Se at (0.5000, 0.5000, 0.5000).

(3)
Here is a relaxed CuNi2Se crystal from Alexandria via LeMat-Bulk. Energies are from PBE-GGA.

As for the density of states at the Fermi level: 0.87 states/eV per atom. The calculation puts the energy at -18.619 eV/cell. Its formation energy without anion corrections is 0.131 eV/atom. The spin magnetization is 0.00 μB per formula unit.

The structure belongs to space group P2/m (No. 10); the cell edges are 2.7505, 3.7814 and 5.1186 Å and the angles 90.00°, 90.37° and 90.00°. Symmetry generates all atoms from Cu at (0.0000, 0.0000, 0.0000), Ni at (0.5000, 0.5000, 0.2341) and Se at (0.5000, 0.0000, 0.5000).

(4)
Here is a relaxed CuNi2Se crystal from Alexandria via LeMat-Bulk. Energies are from PBE-GGA.

As for the density of states at the Fermi level: 0.84 states/eV per atom. The calculation puts the energy at -73.146 eV/cell. Its formation energy without anion corrections is 0.214 eV/atom. The spin magnetization is 0.00 μB per formula unit.

The structure belongs to space group I-42d (No. 122); the cell edges are 3.6518, 3.6518 and 16.3509 Å and the angles 90.00°, 90.00° and 90.00°. Symmetry generates all atoms from Cu at (0.0000, 0.0000, 0.0000), Ni at (0.2374, 0.2500, 0.6250) and Se at (0.0000, 0.0000, 0.5000).

(5)
Here is a relaxed CuNiSe3 crystal from Alexandria via LeMat-Bulk. Energies are from PBE-GGA.

The distance to the lowest polymorph of the same formula comes out at 0.009 eV/atom. As for the density of states at the Fermi level: 0.67 states/eV per atom. The calculation puts the energy at -84.564 eV/cell. Its formation energy without anion corrections is -0.162 eV/atom. The spin magnetization is 0.00 μB per formula unit.

The structure belongs to space group C2/m (No. 12); the cell edges are 6.2839, 11.1185 and 5.6138 Å and the angles 90.00°, 107.33° and 90.00°. Symmetry generates all atoms from Cu at (0.1185, 0.0000, 0.3227), Ni at (0.0000, 0.3331, 0.0000), Se at (0.2151, 0.5000, 0.2213) and Se at (0.2495, 0.3064, 0.7420).

(6)
Here is a relaxed Cu4NiSe crystal from Alexandria via LeMat-Bulk. Energies are from PBE-GGA.

As for the density of states at the Fermi level: 0.43 states/eV per atom. The calculation puts the energy at -96.624 eV/cell. Its formation energy without anion corrections is 0.249 eV/atom. The spin magnetization is 0.00 μB per formula unit.

The structure belongs to space group F-43m (No. 216); the cell edges are 6.8554, 6.8554 and 6.8554 Å and the angles 90.00°, 90.00° and 90.00°. Symmetry generates all atoms from Cu at (0.1243, 0.1243, 0.1243), Ni at (0.2500, 0.2500, 0.7500) and Se at (0.0000, 0.0000, 0.5000).

(7)
Here is a relaxed CuNi2Se crystal from Alexandria via LeMat-Bulk. Energies are from PBE-GGA.

As for the density of states at the Fermi level: 1.18 states/eV per atom. The calculation puts the energy at -54.272 eV/cell. Its formation energy without anion corrections is 0.263 eV/atom. The spin magnetization is 0.49 μB per formula unit.

The structure belongs to space group R3m (No. 160, hexagonal axes); the cell edges are 2.8369, 2.8369 and 23.2181 Å and the angles 90.00°, 90.00° and 120.00°. Symmetry generates all atoms from Cu at (0.0000, 0.0000, 0.0000), Ni at (0.0000, 0.0000, 0.4958), Ni at (0.0000, 0.0000, 0.7481) and Se at (0.0000, 0.0000, 0.2374).

(8)
Here is a relaxed Cu2NiSe3 crystal from Alexandria via LeMat-Bulk. Energies are from PBE-GGA.

The distance to the lowest polymorph of the same formula comes out at 0.000 eV/atom. As for the density of states at the Fermi level: 0.81 states/eV per atom. The calculation puts the energy at -101.622 eV/cell. Its formation energy without anion corrections is -0.163 eV/atom. The spin magnetization is 0.00 μB per formula unit.

The structure belongs to space group Cc (No. 9); the cell edges are 6.6630, 11.5194 and 6.7152 Å and the angles 90.00°, 109.66° and 90.00°. Symmetry generates all atoms from Cu at (0.0000, 0.0847, 0.0000), Cu at (0.0055, 0.2507, 0.5017), Ni at (0.0019, 0.4159, 0.0051), Se at (0.1187, 0.4238, 0.3680), Se at (0.1248, 0.2560, 0.8793) and Se at (0.1352, 0.0832, 0.3774).

(9)
Here is a relaxed CuNiSe crystal from Alexandria via LeMat-Bulk. Energies are from PBE-GGA.

The distance to the lowest polymorph of the same formula comes out at 0.033 eV/atom. As for the density of states at the Fermi level: 0.81 states/eV per atom. The calculation puts the energy at -53.674 eV/cell. Its formation energy without anion corrections is -0.019 eV/atom. The spin magnetization is 0.00 μB per formula unit.

The structure belongs to space group F-43m (No. 216); the cell edges are 5.6530, 5.6530 and 5.6530 Å and the angles 90.00°, 90.00° and 90.00°. Symmetry generates all atoms from Cu at (0.0000, 0.0000, 0.0000), Ni at (0.2500, 0.2500, 0.2500) and Se at (0.0000, 0.0000, 0.5000).

(10)
Here is a relaxed CuNi4Se8 crystal from Alexandria via LeMat-Bulk. Energies are from PBE-GGA.

As for the density of states at the Fermi level: 0.74 states/eV per atom. The calculation puts the energy at -233.437 eV/cell. Its formation energy without anion corrections is -0.251 eV/atom. The spin magnetization is 0.00 μB per formula unit.

The structure belongs to space group F-43m (No. 216); the cell edges are 10.0743, 10.0743 and 10.0743 Å and the angles 90.00°, 90.00° and 90.00°. Symmetry generates all atoms from Cu at (0.0000, 0.0000, 0.0000), Ni at (0.1223, 0.1223, 0.3777), Se at (0.1139, 0.1139, 0.6139) and Se at (0.1369, 0.1369, 0.1369).

(11)
Here is a relaxed CuNiSe crystal from Alexandria via LeMat-Bulk. Energies are from PBE-GGA.

The distance to the lowest polymorph of the same formula comes out at 0.000 eV/atom. As for the density of states at the Fermi level: 0.86 states/eV per atom. The calculation puts the energy at -27.035 eV/cell. Its formation energy without anion corrections is -0.052 eV/atom. The spin magnetization is 0.00 μB per formula unit.

The structure belongs to space group P4/nmm (No. 129, origin choice 2); the cell edges are 3.9079, 3.9079 and 5.6386 Å and the angles 90.00°, 90.00° and 90.00°. Symmetry generates all atoms from Cu at (0.2500, 0.2500, 0.2006), Ni at (0.2500, 0.7500, 0.5000) and Se at (0.2500, 0.2500, 0.7659).

(12)
Here is a relaxed Cu2NiSe crystal from Alexandria via LeMat-Bulk. Energies are from PBE-GGA.

As for the density of states at the Fermi level: 0.32 states/eV per atom. The calculation puts the energy at -50.041 eV/cell. Its formation energy without anion corrections is 0.194 eV/atom. The spin magnetization is 0.00 μB per formula unit.

The structure belongs to space group R3m (No. 160, hexagonal axes); the cell edges are 2.8979, 2.8979 and 23.1149 Å and the angles 90.00°, 90.00° and 120.00°. Symmetry generates all atoms from Cu at (0.0000, 0.0000, 0.0000), Cu at (0.0000, 0.0000, 0.2516), Ni at (0.0000, 0.0000, 0.7488) and Se at (0.0000, 0.0000, 0.4882).

(13)
Here is a relaxed Cu2NiSe crystal from Alexandria via LeMat-Bulk. Energies are from PBE-GGA.

As for the density of states at the Fermi level: 0.48 states/eV per atom. The calculation puts the energy at -17.092 eV/cell. Its formation energy without anion corrections is 0.091 eV/atom. The spin magnetization is 0.00 μB per formula unit.

The structure belongs to space group P4mm (No. 99); the cell edges are 3.1654, 3.1654 and 5.3598 Å and the angles 90.00°, 90.00° and 90.00°. Symmetry generates all atoms from Cu at (0.0000, 0.0000, 0.0000), Cu at (0.5000, 0.5000, 0.2204), Ni at (0.0000, 0.0000, 0.4840) and Se at (0.5000, 0.5000, 0.6883).

(14)
Here is a relaxed CuNi5Se12 crystal from Alexandria via LeMat-Bulk. Energies are from PBE-GGA.

As for the density of states at the Fermi level: 0.50 states/eV per atom. The calculation puts the energy at -157.164 eV/cell. Its formation energy without anion corrections is -0.209 eV/atom. The spin magnetization is 0.00 μB per formula unit.

The structure belongs to space group C2/m (No. 12); the cell edges are 6.2610, 10.7879 and 10.2196 Å and the angles 90.00°, 93.63° and 90.00°. Symmetry generates all atoms from Cu at (0.0000, 0.0000, 0.0000), Ni at (0.0000, 0.1671, 0.5000), Ni at (0.0000, 0.3329, 0.0000), Ni at (0.0000, 0.5000, 0.5000), Se at (0.1590, 0.3324, 0.3802), Se at (0.1601, 0.0000, 0.3830), Se at (0.1719, 0.5000, 0.1200) and Se at (0.1901, 0.1748, 0.1249).

(15)
Here is a relaxed CuNi2Se crystal from Alexandria via LeMat-Bulk. Energies are from PBE-GGA.

As for the density of states at the Fermi level: 0.58 states/eV per atom. The calculation puts the energy at -37.513 eV/cell. Its formation energy without anion corrections is 0.097 eV/atom. The spin magnetization is 0.00 μB per formula unit.

The structure belongs to space group Cm (No. 8); the cell edges are 8.5232, 3.2528 and 3.9124 Å and the angles 90.00°, 109.72° and 90.00°. Symmetry generates all atoms from Cu at (0.0000, 0.0000, 0.0000), Ni at (0.2478, 0.0000, 0.8063), Ni at (0.4852, 0.0000, 0.4879) and Se at (0.2584, 0.5000, 0.3351).

(16)
Here is a relaxed Cu2NiSe crystal from Alexandria via LeMat-Bulk. Energies are from PBE-GGA.

As for the density of states at the Fermi level: 0.62 states/eV per atom. The calculation puts the energy at -33.985 eV/cell. Its formation energy without anion corrections is 0.116 eV/atom. The spin magnetization is 0.00 μB per formula unit.

The structure belongs to space group C2/m (No. 12); the cell edges are 8.9280, 3.5547 and 3.6165 Å and the angles 90.00°, 113.52° and 90.00°. Symmetry generates all atoms from Cu at (0.2502, 0.0000, 0.2503), Ni at (0.0000, 0.0000, 0.5000) and Se at (0.0000, 0.5000, 0.0000).

(17)
Here is a relaxed CuNiSe crystal from Alexandria via LeMat-Bulk. Energies are from PBE-GGA.

The distance to the lowest polymorph of the same formula comes out at 0.149 eV/atom. As for the density of states at the Fermi level: 0.86 states/eV per atom. The calculation puts the energy at -26.143 eV/cell. Its formation energy without anion corrections is 0.097 eV/atom. The spin magnetization is 0.00 μB per formula unit.

The structure belongs to space group I4mm (No. 107); the cell edges are 3.3137, 3.3137 and 7.4785 Å and the angles 90.00°, 90.00° and 90.00°. Symmetry generates all atoms from Cu at (0.0000, 0.0000, 0.0000), Ni at (0.0000, 0.0000, 0.3412) and Se at (0.0000, 0.0000, 0.6741).

(18)
Here is a relaxed CuNi3Se4 crystal from Alexandria via LeMat-Bulk. Energies are from PBE-GGA.

As for the density of states at the Fermi level: 0.91 states/eV per atom. The calculation puts the energy at -36.901 eV/cell. Its formation energy without anion corrections is -0.190 eV/atom. The spin magnetization is 0.00 μB per formula unit.

The structure belongs to space group P-4m2 (No. 115); the cell edges are 3.7821, 3.7821 and 10.8781 Å and the angles 90.00°, 90.00° and 90.00°. Symmetry generates all atoms from Cu at (0.0000, 0.0000, 0.0000), Ni at (0.0000, 0.0000, 0.5000), Ni at (0.5000, 0.5000, 0.2552), Se at (0.0000, 0.5000, 0.1336) and Se at (0.0000, 0.5000, 0.6226).

(19)
Here is a relaxed CuNi2Se crystal from Alexandria via LeMat-Bulk. Energies are from PBE-GGA.

As for the density of states at the Fermi level: 0.71 states/eV per atom. The calculation puts the energy at -73.222 eV/cell. Its formation energy without anion corrections is 0.209 eV/atom. The spin magnetization is 0.00 μB per formula unit.

The structure belongs to space group F-43m (No. 216); the cell edges are 5.8922, 5.8922 and 5.8922 Å and the angles 90.00°, 90.00° and 90.00°. Symmetry generates all atoms from Cu at (0.0000, 0.0000, 0.0000), Ni at (0.0000, 0.0000, 0.5000), Ni at (0.2500, 0.2500, 0.2500) and Se at (0.2500, 0.2500, 0.7500).

(20)
Here is a relaxed Cu2Ni3Se8 crystal from Alexandria via LeMat-Bulk. Energies are from PBE-GGA.

As for the density of states at the Fermi level: 0.44 states/eV per atom. The calculation puts the energy at -112.108 eV/cell. Its formation energy without anion corrections is -0.203 eV/atom. The spin magnetization is 0.00 μB per formula unit.

The structure belongs to space group C2/m (No. 12); the cell edges are 10.6284, 7.1168 and 6.6018 Å and the angles 90.00°, 101.18° and 90.00°. Symmetry generates all atoms from Cu at (0.2022, 0.0000, 0.0761), Ni at (0.0000, 0.2527, 0.5000), Ni at (0.0000, 0.5000, 0.0000), Se at (0.1183, 0.5000, 0.3695), Se at (0.1194, 0.2671, 0.8540) and Se at (0.1287, 0.0000, 0.4079).